5
Lattice="5.208 0.000 0.000 0.000 5.208 0.000 0.000 0.000 5.208" Properties=species:S:1:pos:R:3 comment="GaSiHg3 (PBE, relaxed)" n_ef_per_ev_fu=2.8 e_form_raw_ev_per_atom=0.657 pbc="T T T"
Ga 0.000 0.000 0.000
Si 2.604 2.604 2.604
Hg 0.000 0.000 2.604
Hg 0.000 2.604 0.000
Hg 2.604 0.000 0.000



4
Lattice="5.102 0.000 0.000 0.000 5.102 0.000 0.000 0.000 3.860" Properties=species:S:1:pos:R:3 comment="SiHgTe2 (PBE, relaxed)" n_ef_per_ev_fu=2.2 e_form_raw_ev_per_atom=0.443 pbc="T T T"
Si 0.000 0.000 0.000
Hg 2.551 2.551 0.000
Te 0.000 2.551 1.930
Te 2.551 0.000 1.930



5
Lattice="4.914 0.000 0.000 0.000 4.914 0.000 0.000 0.000 5.251" Properties=species:S:1:pos:R:3 comment="NbAgAs2Br (PBE, relaxed)" n_ef_per_ev_fu=6.0 e_form_raw_ev_per_atom=1.090 pbc="T T T"
Nb 0.000 0.000 0.000
Ag 2.457 2.457 2.626
As 0.000 2.457 2.626
As 2.457 0.000 2.626
Br 2.457 2.457 0.000



15
Lattice="3.872 2.235 5.075 -3.872 2.235 5.075 0.000 -4.471 5.075" Properties=species:S:1:pos:R:3 comment="Li8TlPd6 (PBE, relaxed)" n_ef_per_ev_fu=6.6 e_form_ev_per_atom=-0.2472 pbc="T T T"
Li -2.550 0.041 5.765
Li 0.000 0.000 2.645
Li -1.311 -2.188 9.459
Li 1.239 -2.229 5.765
Li -1.239 2.229 9.459
Li 1.311 2.188 5.765
Li 0.000 0.000 12.579
Li 2.550 -0.041 9.459
Tl 0.000 0.000 7.612
Pd -1.312 -2.309 6.962
Pd -2.655 -0.019 8.262
Pd -1.344 2.290 6.962
Pd 1.344 -2.290 8.262
Pd 2.655 0.019 6.962
Pd 1.312 2.309 8.262



10
Lattice="5.236 0.000 0.000 0.000 5.236 0.000 0.000 0.000 12.965" Properties=species:S:1:pos:R:3 comment="Cs2InHg3Pb4 (PBE, relaxed)" n_ef_per_ev_fu=5.2 e_form_ev_per_atom=-0.1222 pbc="T T T"
Cs 0.000 2.618 3.173
Cs 2.618 0.000 9.792
In 2.618 2.618 0.000
Hg 0.000 0.000 0.000
Hg 0.000 2.618 8.238
Hg 2.618 0.000 4.727
Pb 0.000 0.000 6.482
Pb 0.000 2.618 11.281
Pb 2.618 0.000 1.683
Pb 2.618 2.618 6.482



16
Lattice="7.176 0.000 0.000 0.000 14.351 0.000 0.000 0.000 5.054" Properties=species:S:1:pos:R:3 comment="Tb5PrY2 (PBE, relaxed)" n_ef_per_ev_fu=10.4 e_form_ev_per_atom=0.0177 pbc="T T T"
Tb 0.000 0.000 0.000
Tb 0.006 3.571 0.000
Tb 1.782 12.545 2.527
Tb 1.806 5.370 2.527
Tb 3.582 10.746 0.000
Tb 3.588 7.175 0.000
Tb 3.594 3.605 0.000
Tb 5.370 8.981 2.527
Tb 5.393 1.806 2.527
Tb 7.170 10.780 0.000
Pr 0.000 7.175 0.000
Pr 3.588 0.000 0.000
Y 1.793 1.808 2.527
Y 1.794 8.984 2.527
Y 5.381 5.367 2.527
Y 5.382 12.543 2.527



6
Lattice="2.833 1.635 9.340 -2.833 1.635 9.340 0.000 -3.271 9.340" Properties=species:S:1:pos:R:3 comment="CsRbS (PBE, relaxed)" n_ef_per_ev_fu=0.0 e_form_raw_ev_per_atom=-1.004 pbc="T T T"
Cs 0.000 0.000 3.467
Cs 0.000 0.000 24.552
Rb 0.000 0.000 10.460
Rb 0.000 0.000 17.559
S 0.000 0.000 7.112
S 0.000 0.000 20.908



16
Lattice="5.071 0.000 0.000 -2.536 4.392 0.000 0.000 0.000 17.855" Properties=species:S:1:pos:R:3 comment="Na5HgP2 (PBE, relaxed)" n_ef_per_ev_fu=3.0 e_form_ev_per_atom=-0.2551 pbc="T T T"
Na 0.000 0.000 2.434
Na 0.000 0.000 6.494
Na 0.000 0.000 11.361
Na 0.000 0.000 15.421
Na 0.000 2.928 0.926
Na 0.000 2.928 4.464
Na 0.000 2.928 8.002
Na 2.536 1.464 9.853
Na 2.536 1.464 13.391
Na 2.536 1.464 16.929
Hg 0.000 2.928 13.391
Hg 2.536 1.464 4.464
P 0.000 2.928 10.907
P 0.000 2.928 15.875
P 2.536 1.464 1.980
P 2.536 1.464 6.948



14
Lattice="-4.363 4.363 4.363 4.363 -4.363 4.363 4.363 4.363 -4.363" Properties=species:S:1:pos:R:3 comment="Nd2Rh3Pb2 (PBE, relaxed)" n_ef_per_ev_fu=4.2 e_form_ev_per_atom=-0.4771 pbc="T T T"
Nd 4.242 0.121 -0.121
Nd 0.121 0.121 0.121
Nd 0.121 -0.121 4.242
Nd -0.121 4.242 0.121
Rh 4.363 2.182 -2.064
Rh 2.182 2.064 0.000
Rh 2.064 0.000 2.182
Rh 2.182 -2.064 4.363
Rh 0.000 2.182 2.064
Rh -2.064 4.363 2.182
Pb 6.076 -1.713 1.713
Pb 1.713 6.076 -1.713
Pb 2.651 2.651 2.651
Pb -1.713 1.713 6.076



8
Lattice="-2.194 2.194 9.560 2.194 -2.194 9.560 2.194 2.194 -9.560" Properties=species:S:1:pos:R:3 comment="In2FeHg (PBE, relaxed)" n_ef_per_ev_fu=5.2 e_form_ev_per_atom=0.4441 pbc="T T T"
In 3.291 0.977 -2.390
In 0.977 1.097 2.390
In -1.097 1.217 7.170
In 1.217 1.097 11.950
Fe 0.000 0.000 0.000
Fe 0.000 2.194 4.780
Hg 2.194 0.000 4.780
Hg 0.000 0.000 9.560



4
Lattice="5.465 -2.396 0.000 5.465 2.396 0.000 -2.053 0.000 4.333" Properties=species:S:1:pos:R:3 comment="SrCdHg2 (PBE, relaxed)" n_ef_per_ev_fu=1.9 e_form_ev_per_atom=-0.3279 pbc="T T T"
Sr 0.000 0.000 0.000
Cd 1.200 0.000 3.236
Hg 4.441 0.000 2.170
Hg 7.684 0.000 1.087



5
Lattice="-2.097 2.097 5.630 2.097 -2.097 5.630 2.097 2.097 -5.630" Properties=species:S:1:pos:R:3 comment="KZn2Pt2 (PBE, relaxed)" n_ef_per_ev_fu=1.8 e_form_ev_per_atom=-0.2712 pbc="T T T"
K 0.000 0.000 0.000
Zn 0.000 0.000 4.316
Zn 0.000 0.000 6.943
Pt 2.097 0.000 2.815
Pt 0.000 2.097 2.815